[1]
{"formula": "LaAg4W", "functional": "meta-GGA SCAN", "state": "PBEsol geometry", "sg": "No. 216", "formation_enthalpy_0k_kj_per_mol_atoms": 47, "cell": [[-3.489, 3.728, -1.990], [-4.556, -1.614, -2.583], [-4.891, 0.714, 2.367]], "species": ["La", "W", "Ag", "Ag", "Ag", "Ag"], "fractional_positions": [[0.750, 0.750, 0.750], [0.000, 0.000, 0.000], [0.877, 0.374, 0.374], [0.374, 0.374, 0.374], [0.374, 0.877, 0.374], [0.374, 0.374, 0.877]]}

[2]
{"formula": "Ag2OsPt", "functional": "meta-GGA SCAN", "state": "PBEsol geometry", "e_above_lowest_polymorph_mev_per_atom": 0, "sg": "No. 99", "formation_enthalpy_0k_kj_per_mol_atoms": 26, "cell": [[-0.548, -0.432, -2.649], [1.950, -1.922, -0.090], [-5.536, -5.712, 2.075]], "species": ["Os", "Ag", "Ag", "Pt"], "fractional_positions": [[0.000, 0.000, 0.513], [0.000, 0.000, 0.995], [0.500, 0.500, 0.258], [0.500, 0.500, 0.734]]}

[3]
{"formula": "Cr3CoTe2P6O24", "functional": "meta-GGA SCAN", "state": "PBEsol geometry", "raw_formation_energy_mev_per_atom": -2101, "sg": "No. 146", "cell": [[8.472, 0.000, 0.000], [4.236, 7.337, 0.000], [4.236, 2.446, 7.215]], "species": ["Co", "O", "O", "O", "O", "O", "O", "O", "O", "O", "O", "O", "O", "O", "O", "O", "O", "O", "O", "O", "O", "O", "O", "O", "O", "P", "P", "P", "P", "P", "P", "Cr", "Cr", "Cr", "Te", "Te"], "fractional_positions": [[0.148, 0.148, 0.557], [0.506, 0.302, 0.073], [0.430, 0.582, 0.751], [0.302, 0.119, 0.073], [0.621, 0.797, 0.572], [0.212, 0.975, 0.432], [0.010, 0.621, 0.572], [0.074, 0.947, 0.247], [0.267, 0.924, 0.759], [0.881, 0.497, 0.930], [0.947, 0.733, 0.247], [0.237, 0.430, 0.751], [0.580, 0.416, 0.245], [0.119, 0.506, 0.073], [0.692, 0.881, 0.930], [0.924, 0.051, 0.759], [0.975, 0.380, 0.432], [0.051, 0.267, 0.759], [0.797, 0.010, 0.572], [0.582, 0.237, 0.751], [0.416, 0.759, 0.245], [0.733, 0.074, 0.247], [0.497, 0.692, 0.930], [0.380, 0.212, 0.432], [0.759, 0.580, 0.245], [0.961, 0.538, 0.251], [0.249, 0.961, 0.251], [0.538, 0.249, 0.251], [0.036, 0.465, 0.752], [0.747, 0.036, 0.752], [0.465, 0.747, 0.752], [0.354, 0.354, 0.938], [0.646, 0.646, 0.063], [0.856, 0.856, 0.431], [0.006, 0.006, 0.982], [0.502, 0.502, 0.494]]}

What did the first record say?
{"formula": "LaAg4W", "functional": "meta-GGA SCAN", "state": "PBEsol geometry", "sg": "No. 216", "formation_enthalpy_0k_kj_per_mol_atoms": 47, "cell": [[-3.489, 3.728, -1.990], [-4.556, -1.614, -2.583], [-4.891, 0.714, 2.367]], "species": ["La", "W", "Ag", "Ag", "Ag", "Ag"], "fractional_positions": [[0.750, 0.750, 0.750], [0.000, 0.000, 0.000], [0.877, 0.374, 0.374], [0.374, 0.374, 0.374], [0.374, 0.877, 0.374], [0.374, 0.374, 0.877]]}

What is the formula in the third record?
Cr3CoTe2P6O24